a | # NdGaB4

An optimized crystal structure of NdGaB4 (PBE, OQMD via LeMat-Bulk).

Unit cell a=3.227 b=5.245 c=8.421 alpha=90.00 beta=90.00 gamma=90.00
Space group Immm (No. 71)
Asymmetric unit:
Nd  0.000  0.000  0.000 x2
Ga  0.000  0.000  0.500 x2
B  0.000  0.324  0.260 x8

=====

b | # NdGaB4

An optimized crystal structure of NdGaB4 (PBE, OQMD via LeMat-Bulk).

Unit cell a=3.1566 b=3.1566 c=7.6850 alpha=90.00 beta=90.00 gamma=120.00
Space group P6/mmm (No. 191)
Asymmetric unit:
Nd  0.0000  0.0000  0.0000 x1
Ga  0.0000  0.0000  0.5000 x1
B  0.3333  0.6667  0.2831 x4

=====

Top of the stability list: a, leading by 127 meV per atom.